(1)
A geometry-optimized KAgO structure. Source: Alexandria via LeMat-Bulk, functional PBE-GGA.

Unit cell a=4.440 b=3.955 c=3.955 alpha=120.00 beta=90.00 gamma=90.00
Positions (direct):
Ag1 0.167 0.333 0.667
O1 0.164 0.000 0.000
K1 0.668 0.667 0.333

symmetry	P3m1, No. 156
crystal system	trigonal
energy relative to the elements, uncorrected	-1.48	eV/f.u.

(2)
A geometry-optimized Cs4TlSn3Cl12 structure. Source: Alexandria via LeMat-Bulk, functional PBE-GGA.

Unit cell a=9.741 b=9.741 c=9.741 alpha=109.47 beta=109.47 gamma=109.47
Positions (direct):
Tl1 0.000 0.000 0.000
Cl1 0.750 0.250 0.500
Cl2 0.500 0.750 0.250
Cl3 0.250 0.750 0.500
Cl4 0.750 0.500 0.250
Cl5 0.250 0.500 0.750
Cl6 0.739 0.739 0.000
Cl7 0.261 0.261 0.000
Cl8 0.261 0.000 0.261
Cl9 0.000 0.261 0.261
Cl10 0.500 0.250 0.750
Cl11 0.000 0.739 0.739
Cl12 0.739 0.000 0.739
Cs1 0.000 0.000 0.500
Cs2 0.000 0.500 0.000
Cs3 0.500 0.500 0.500
Cs4 0.500 0.000 0.000
Sn1 0.500 0.000 0.500
Sn2 0.000 0.500 0.500
Sn3 0.500 0.500 0.000

symmetry	Im-3m, No. 229
crystal system	cubic
energy relative to the elements, uncorrected	-28.43	eV/f.u.

(3)
A geometry-optimized FeCu2Pd3 structure. Source: Alexandria via LeMat-Bulk, functional PBE-GGA.

Unit cell a=2.839 b=2.839 c=10.325 alpha=90.00 beta=90.00 gamma=90.00
Last column: magnetic moment on the atom in μB.
Positions (direct):
Fe1 0.500 0.500 0.500  3.14
Pd1 0.000 0.000 0.333  0.28
Pd2 0.000 0.000 0.667  0.28
Pd3 0.000 0.000 0.000  0.06
Cu1 0.500 0.500 0.164  0.03
Cu2 0.500 0.500 0.836  0.03

symmetry	P4/mmm, No. 123
DFT formation energy	-10	kJ/mol of atoms
crystal system	tetragonal

Q: Which formula does entry 3 have?
A: FeCu2Pd3